[1]
# TcPd3Pt12, relaxed, DFT PBE-GGA
# energy of formation	-0.05	eV per atom
# density of states at the Fermi level	1.974	states/eV per atom
# final energy	-99.31	eV for the cell shown
data_TcPd3Pt12
_cell_length_a 3.9493
_cell_length_b 3.9493
_cell_length_c 15.8827
_cell_angle_alpha 90.00
_cell_angle_beta 90.00
_cell_angle_gamma 90.00
_space_group_name_H-M_alt 'P 4/m m m'
_space_group_IT_number 123
_space_group_name_Hall '-P 4 2'
loop_
_atom_site_label
_atom_site_type_symbol
_atom_site_fract_x
_atom_site_fract_y
_atom_site_fract_z
Tc1 Tc 0.0000 0.0000 0.0000
Pd1 Pd 0.0000 0.0000 0.2480
Pd2 Pd 0.0000 0.0000 0.5000
Pt1 Pt 0.0000 0.5000 0.1211
Pt2 Pt 0.0000 0.5000 0.3744
Pt3 Pt 0.5000 0.5000 0.0000
Pt4 Pt 0.5000 0.5000 0.2488
Pt5 Pt 0.5000 0.5000 0.5000

---

[2]
# AlPt2Pb, relaxed, DFT PBE-GGA
# energy of formation	-0.53	eV per atom
# density of states at the Fermi level	0.230	states/eV per atom
# final energy	-21.66	eV for the cell shown
data_AlPt2Pb
_cell_length_a 3.1334
_cell_length_b 3.1334
_cell_length_c 7.4066
_cell_angle_alpha 90.00
_cell_angle_beta 90.00
_cell_angle_gamma 90.00
_space_group_name_H-M_alt 'P 4/m m m'
_space_group_IT_number 123
_space_group_name_Hall '-P 4 2'
loop_
_atom_site_label
_atom_site_type_symbol
_atom_site_fract_x
_atom_site_fract_y
_atom_site_fract_z
Al1 Al 0.0000 0.0000 0.0000
Pt1 Pt 0.5000 0.5000 0.1922
Pb1 Pb 0.0000 0.0000 0.5000